Er2P2Ru2C | Alexandria | PBE | optimized geometry; space-group type = C2/m, No. 12; ρ = 8.93 g cm⁻³; formation energy from the elements = -0.867 eV/atom
1.0
3.9226 0.0000 0.0000
1.9613 5.4479 -0.2747
1.9613 1.7858 5.2250
P Ru C Er
2 2 1 2
direct
0.8302 0.6430 0.6965 P
0.1698 0.3570 0.3035 P
0.2003 0.6903 0.9091 Ru
0.7997 0.3097 0.0909 Ru
0.0000 0.0000 0.0000 C
0.5648 0.1763 0.6940 Er
0.4352 0.8237 0.3060 Er